DFT (PBE-GGA) results for a relaxed Zr12In3Sb crystal.

## Properties
E_form (uncorrected) ... -273 meV per atom

Cell: 5.643 5.647 11.293 Å, 90.00 90.00 90.00°
Space group Pmmm (No. 47)
Unique sites:
1 Zr 0.000 0.000 0.124
2 Zr 0.000 0.000 0.374
3 Zr 0.251 0.500 0.252
4 Zr 0.500 0.248 0.500
5 Zr 0.500 0.250 0.000
6 In 0.000 0.500 0.000
7 In 0.500 0.000 0.251
8 Sb 0.000 0.500 0.500

DFT (PBE-GGA) results for a relaxed ZrInSb crystal.

## Properties
E_form (uncorrected) ... 219 meV per atom

Cell: 7.012 7.012 7.012 Å, 90.00 90.00 90.00°
Space group F-43m (No. 216)
Unique sites:
1 Zr 0.000 0.000 0.000
2 In 0.000 0.000 0.500
3 Sb 0.250 0.250 0.750

DFT (PBE-GGA) results for a relaxed ZrInSb crystal.

## Properties
E_form (uncorrected) ... -372 meV per atom

Cell: 10.388 3.895 7.538 Å, 90.00 105.99 90.00°
Space group C2/m (No. 12)
Unique sites:
1 Zr 0.158 0.000 0.136
2 In 0.157 0.000 0.568
3 Sb 0.051 0.500 0.823

DFT (PBE-GGA) results for a relaxed ZrInSb crystal.

## Properties
E_form (uncorrected) ... 69 meV per atom

Cell: 6.975 6.975 6.975 Å, 90.00 90.00 90.00°
Space group F-43m (No. 216)
Unique sites:
1 Zr 0.000 0.000 0.000
2 In 0.250 0.250 0.750
3 Sb 0.250 0.250 0.250

DFT (PBE-GGA) results for a relaxed ZrIn4Sb2 crystal.

## Properties
E_form (uncorrected) ... 382 meV per atom

Cell: 5.667 5.667 15.094 Å, 90.00 90.00 90.00°
Space group I4/mmm (No. 139)
Unique sites:
1 Zr 0.000 0.000 0.000
2 In 0.000 0.000 0.194
3 In 0.000 0.500 0.000
4 Sb 0.000 0.000 0.386

DFT (PBE-GGA) results for a relaxed ZrInSb4 crystal.

## Properties
E_form (uncorrected) ... 318 meV per atom

Cell: 8.734 8.734 8.734 Å, 90.00 90.00 90.00°
Space group F-43m (No. 216)
Unique sites:
1 Zr 0.000 0.000 0.000
2 In 0.250 0.250 0.750
3 Sb 0.125 0.125 0.375

DFT (PBE-GGA) results for a relaxed Zr4InSb crystal.

## Properties
E_form (uncorrected) ... 83 meV per atom

Cell: 8.266 8.266 8.266 Å, 90.00 90.00 90.00°
Space group F-43m (No. 216)
Unique sites:
1 Zr 0.124 0.124 0.124
2 In 0.250 0.250 0.750
3 Sb 0.000 0.000 0.500

DFT (PBE-GGA) results for a relaxed Sc3In crystal.

## Properties
Distance to the lowest polymorph of the same formula ... 55 meV/atom

Cell: 4.474 4.474 9.270 Å, 90.00 90.00 90.00°
Space group I4/mmm (No. 139)
Unique sites:
1 Sc 0.000 0.000 0.000
2 Sc 0.000 0.500 0.250
3 In 0.000 0.000 0.500

DFT (PBE-GGA) results for a relaxed ScIn2 crystal.

## Properties
Energy ... -4.23 eV/atom

Cell: 4.549 14.758 4.191 Å, 90.00 90.00 90.00°
Space group Cmcm (No. 63)
Unique sites:
1 Sc 0.000 0.086 0.250
2 In 0.000 0.260 0.750
3 In 0.000 0.427 0.250

DFT (PBE-GGA) results for a relaxed Sc3In4 crystal.

## Properties
Energy ... -4.57 eV/atom

Cell: 8.600 4.959 8.587 Å, 90.00 109.57 90.00°
Space group C2/m (No. 12)
Unique sites:
1 Sc 0.000 0.000 0.000
2 Sc 0.249 0.500 0.248
3 In 0.119 0.500 0.855
4 In 0.129 0.000 0.386

DFT (PBE-GGA) results for a relaxed Sc3In crystal.

## Properties
Distance to the lowest polymorph of the same formula ... 1260 meV/atom

Cell: 5.488 5.488 5.488 Å, 90.00 90.00 90.00°
Space group Pm-3m (No. 221)
Unique sites:
1 Sc 0.000 0.000 0.500
2 In 0.000 0.000 0.000

DFT (PBE-GGA) results for a relaxed ScIn crystal.

## Properties
Energy ... -4.75 eV/atom

Cell: 11.990 3.385 7.395 Å, 90.00 106.74 90.00°
Space group Cm (No. 8)
Unique sites:
1 Sc 0.000 0.000 0.000
2 Sc 0.111 0.500 0.720
3 Sc 0.334 0.000 0.652
4 In 0.168 0.500 0.318
5 In 0.283 0.000 0.032
6 In 0.445 0.500 0.391

What did the eighth record say?
DFT (PBE-GGA) results for a relaxed Sc3In crystal.

## Properties
Distance to the lowest polymorph of the same formula ... 55 meV/atom

Cell: 4.474 4.474 9.270 Å, 90.00 90.00 90.00°
Space group I4/mmm (No. 139)
Unique sites:
1 Sc 0.000 0.000 0.000
2 Sc 0.000 0.500 0.250
3 In 0.000 0.000 0.500